Entry 1:
20
Lattice="9.6130 0.0000 0.0000 0.0000 9.6130 0.0000 0.0000 0.0000 3.5432" Properties=species:S:1:pos:R:3 comment="Ho2Be2CdPt5 | Alexandria | PBE | relaxed" delta_e_f_mev_per_atom=-947 pbc="T T T"
Ho 1.7127 3.0938 0.0000
Ho 3.0938 7.9004 0.0000
Ho 6.5192 1.7127 0.0000
Ho 7.9004 6.5192 0.0000
Be 1.1366 5.9431 0.0000
Be 3.6699 1.1366 0.0000
Be 5.9431 8.4764 0.0000
Be 8.4764 3.6699 0.0000
Cd 0.0000 0.0000 0.0000
Cd 4.8065 4.8065 0.0000
Pt 0.0000 4.8065 1.7716
Pt 0.6604 7.5013 1.7716
Pt 2.1117 0.6604 1.7716
Pt 2.6948 5.4669 1.7716
Pt 4.1461 2.6948 1.7716
Pt 4.8065 0.0000 1.7716
Pt 5.4669 6.9182 1.7716
Pt 6.9182 4.1461 1.7716
Pt 7.5013 8.9526 1.7716
Pt 8.9526 2.1117 1.7716

=====

Entry 2:
4
Lattice="0.0000 3.2997 3.2997 3.2997 0.0000 3.2997 3.2997 3.2997 0.0000" Properties=species:S:1:pos:R:3 comment="HoBeZnCd | Alexandria | PBE | relaxed" delta_e_f_mev_per_atom=-80 pbc="T T T"
Ho 0.0000 0.0000 0.0000
Be 4.9496 4.9496 4.9496
Zn 1.6499 1.6499 1.6499
Cd 3.2997 3.2997 3.2997

=====

Entry 3:
10
Lattice="8.3828 0.0000 0.0000 0.0000 8.3828 0.0000 0.0000 0.0000 2.9489" Properties=species:S:1:pos:R:3 comment="Be2Cd2I | Alexandria | PBE | relaxed" formation_energy_uncorrected_kcal_per_mol_atoms=14.06 e_above_lowest_polymorph_kj_per_mol_fu=67 pbc="T T T"
Be 0.7856 3.4058 0.0000
Be 3.4058 7.5972 0.0000
Be 4.9771 0.7856 0.0000
Be 7.5972 4.9771 0.0000
Cd 1.5676 5.7590 1.4744
Cd 2.6238 1.5676 1.4744
Cd 5.7590 6.8153 1.4744
Cd 6.8153 2.6238 1.4744
I 0.0000 0.0000 1.4744
I 4.1914 4.1914 1.4744

=====

In the order shown, the computed calculated total energy values come out to -5.7202; -2.7029; -1.5567 eV/atom.
In the order shown, the computed total magnetic moment values come out to 0.000; 0.000; 0.000 Bohr magnetons per cell.